# GGA-PBE TmTlCdSe3, relaxed
data_TmTlCdSe3
_space_group_name_H-M_alt 'P 1'
_space_group_IT_number 1
_space_group_name_Hall 'P 1'
_cell_length_a 9.027
_cell_length_b 9.027
_cell_length_c 9.444
_cell_angle_alpha 102.98
_cell_angle_beta 102.98
_cell_angle_gamma 26.59
loop_
_atom_site_label
_atom_site_fract_x
_atom_site_fract_y
_atom_site_fract_z
Se1 0.336 0.336 0.127
Se2 0.334 0.334 0.716
Se3 0.666 0.666 0.284
Se4 0.500 0.500 0.500
Se5 0.664 0.664 0.873
Se6 0.000 0.000 0.000
Tm1 0.828 0.828 0.914
Tm2 0.172 0.172 0.086
Tl1 0.859 0.859 0.437
Tl2 0.141 0.141 0.563
Cd1 0.494 0.494 0.785
Cd2 0.506 0.506 0.215
# * V: 335.1 Å³ per cell
# * total DFT energy (no corrections): -48.72 eV for the cell shown
# * relative energy among the computed polymorphs: 0.0360 eV/atom